DFT (PBEsol) results for CdTc2Ir after structural relaxation.

* DOS at the Fermi energy: 4.227 states/eV/cell
* energy of formation from the pure elements: 1.3 eV per formula unit
* symmetry: Cmm2, No. 35
* total moment: 0.00 μB per cell

CIF file:
```
data_CdTc2Ir
_chemical_formula_sum 'Cd1 Tc2 Ir1'
_symmetry_space_group_name_H-M 'P 1'
_symmetry_Int_Tables_number 1
_symmetry_space_group_name_Hall 'P 1'
_cell_length_a 2.7123
_cell_length_b 2.7123
_cell_length_c 9.2890
_cell_angle_alpha 90.00
_cell_angle_beta 90.00
_cell_angle_gamma 116.64
loop_
_atom_site_label
_atom_site_type_symbol
_atom_site_fract_x
_atom_site_fract_y
_atom_site_fract_z
Cd1 Cd 0.0000 0.0000 0.4991
Ir1 Ir 0.5000 0.5000 0.2373
Tc1 Tc 0.0000 0.0000 0.9953
Tc2 Tc 0.5000 0.5000 0.7683
```

---

DFT (PBEsol) results for Mn2SiSe after structural relaxation.

* DOS at the Fermi energy: 2.842 states/eV/cell
* symmetry: R-3m, No. 166
* total moment: 6.37 μB per cell
* raw formation energy: 0.02 eV/atom

CIF file:
```
data_Mn2SiSe
_chemical_formula_sum 'Mn2 Si1 Se1'
_symmetry_space_group_name_H-M 'P 1'
_symmetry_Int_Tables_number 1
_symmetry_space_group_name_Hall 'P 1'
_cell_length_a 3.5276
_cell_length_b 3.5276
_cell_length_c 6.0917
_cell_angle_alpha 73.17
_cell_angle_beta 73.17
_cell_angle_gamma 60.00
loop_
_atom_site_label
_atom_site_type_symbol
_atom_site_fract_x
_atom_site_fract_y
_atom_site_fract_z
Mn1 Mn 0.2604 0.2604 0.2187
Mn2 Mn 0.7396 0.7396 0.7813
Se1 Se 0.5000 0.5000 0.5000
Si1 Si 0.0000 0.0000 0.0000
```

---

DFT (PBEsol) results for SnTe2RhI after structural relaxation.

* DOS at the Fermi energy: 9.285 states/eV/cell
* symmetry: P4/mmm, No. 123
* total moment: 2.37 μB per cell
* raw formation energy: 1.16 eV/atom

CIF file:
```
data_SnTe2RhI
_chemical_formula_sum 'Sn1 Te2 Rh1 I1'
_symmetry_space_group_name_H-M 'P 1'
_symmetry_Int_Tables_number 1
_symmetry_space_group_name_Hall 'P 1'
_cell_length_a 5.5678
_cell_length_b 5.5678
_cell_length_c 5.7179
_cell_angle_alpha 90.00
_cell_angle_beta 90.00
_cell_angle_gamma 90.00
loop_
_atom_site_label
_atom_site_type_symbol
_atom_site_fract_x
_atom_site_fract_y
_atom_site_fract_z
I1 I 0.0000 0.0000 0.5000
Te1 Te 0.0000 0.5000 0.0000
Te2 Te 0.5000 0.0000 0.0000
Rh1 Rh 0.5000 0.5000 0.5000
Sn1 Sn 0.0000 0.0000 0.0000
```

---

DFT (PBEsol) results for KMnCl2 after structural relaxation.

* DOS at the Fermi energy: 2.051 states/eV/cell
* E above lowest polymorph: 0 meV per atom
* symmetry: C2/m, No. 12
* total moment: 4.07 μB per cell
* raw formation energy: -0.82 eV/atom

CIF file:
```
data_KMnCl2
_chemical_formula_sum 'K1 Mn1 Cl2'
_symmetry_space_group_name_H-M 'P 1'
_symmetry_Int_Tables_number 1
_symmetry_space_group_name_Hall 'P 1'
_cell_length_a 3.8959
_cell_length_b 3.9026
_cell_length_c 7.0357
_cell_angle_alpha 106.09
_cell_angle_beta 90.00
_cell_angle_gamma 119.94
loop_
_atom_site_label
_atom_site_type_symbol
_atom_site_fract_x
_atom_site_fract_y
_atom_site_fract_z
K1 K 0.0000 0.0000 0.5000
Mn1 Mn 0.5000 0.0000 0.0000
Cl1 Cl 0.7689 0.5379 0.8060
Cl2 Cl 0.2311 0.4621 0.1940
```

---

Which of these has the highest total moment?
Mn2SiSe